HgAs2Se | Alexandria | GGA-PBE | relaxed; total energy = -2.859 eV/atom; D(E_F) = 0.565 states/eV/atom; calculated density = 8.1 g/cm3; spin magnetization = 0.00 μB/f.u.
1.0
1.682 -2.684 0.000
1.682 2.684 0.000
0.000 0.000 9.780
Hg As Se
1 2 1
Cartesian
0.000 0.000 0.000 Hg
1.682 0.000 2.791 As
1.682 0.000 6.989 As
0.000 0.000 4.890 Se